# 1
The following is a DFT calculation (PBE-GGA) of Ac2Y5Tm2 after structural relaxation.

Results
As for the magnetization: 0.0001 μB per atom. The density is 6.45 g cm⁻³.

The structure in POSCAR format:
```
Ac2Y5Tm2
1.0
-0.6357 -1.3831 -3.4023
-1.7945 -10.4381 8.6644
-7.1938 -2.0459 0.1350
Ac Y Tm
2 5 2
Cartesian
-6.7259 -5.9761 1.6487 Ac
-2.8981 -7.8910 3.7484 Ac
-6.8108 -8.2864 4.6406 Y
-2.8132 -5.5807 0.7565 Y
-5.2193 -4.3198 -1.3490 Y
-4.4047 -9.5473 6.7462 Y
0.0000 0.0000 0.0000 Y
-7.0967 -11.5298 6.0150 Tm
-2.5273 -2.3372 -0.6179 Tm
```


# 2
The following is a DFT calculation (PBE-GGA) of Ac4YTm after structural relaxation.

Results
As for the magnetization: 0.0000 μB per atom. The density is 7.93 g cm⁻³.

The structure in POSCAR format:
```
Ac4YTm
1.0
-1.1663 0.2306 -5.6980
3.4839 -6.5094 -0.9765
-9.6919 -5.4498 1.7632
Ac Y Tm
8 2 2
Cartesian
-5.8011 -6.6102 -5.0261 Ac
-7.0212 -7.7388 -1.8490 Ac
-0.9976 -8.1427 -6.0713 Ac
-0.3531 -3.9899 -3.0623 Ac
-2.0950 -0.7352 -2.5739 Ac
-6.3768 -3.5860 1.1600 Ac
-5.2793 -10.9935 -2.3374 Ac
-1.5733 -5.1185 0.1148 Ac
-2.8163 -7.4917 -2.7000 Y
-4.5581 -4.2370 -2.2113 Y
2.6128 -4.8820 -0.7327 Tm
-0.2952 -1.3968 -5.9418 Tm
```


# 3
The following is a DFT calculation (PBE-GGA) of Ac4Y2Tm after structural relaxation.

Results
As for the magnetization: 0.0000 μB per atom. The density is 7.57 g cm⁻³.

The structure in POSCAR format:
```
Ac4Y2Tm
1.0
-4.1630 2.2931 5.4691
-2.0994 -4.7542 -5.0488
7.3766 -8.3331 7.0311
Ac Y Tm
8 4 2
Cartesian
2.0950 -5.6505 7.2038 Ac
-0.8002 -4.1925 -0.3545 Ac
3.6423 -10.7908 2.8898 Ac
-1.3798 -2.0695 6.1713 Ac
3.7416 -6.2880 3.7807 Ac
-2.5592 -3.8103 2.9403 Ac
1.3639 -8.7783 5.2602 Ac
-0.2545 -1.0703 1.8339 Ac
1.2224 -3.6131 4.2279 Y
-4.5219 -3.6766 -0.7361 Y
-1.4439 -5.7595 5.8882 Y
5.3242 -9.1917 5.6366 Y
0.1382 -6.5586 2.4446 Tm
-4.0714 -0.6112 1.5878 Tm
```


# 4
The following is a DFT calculation (PBE-GGA) of AcYTm2 after structural relaxation.

Results
As for the magnetization: 0.0000 μB per atom. The density is 7.99 g cm⁻³.

The structure in POSCAR format:
```
AcYTm2
1.0
-3.3430 -0.0682 -1.5166
-2.6529 -2.0506 1.4957
-5.2011 8.2904 6.6476
Y Ac Tm
1 1 2
Cartesian
0.0000 0.0000 0.0000 Y
-5.5985 3.0858 3.3134 Ac
-8.4253 4.7063 5.0274 Tm
-2.7716 1.4653 1.5993 Tm
```


# 5
The following is a DFT calculation (PBE-GGA) of AcY6Tm8 after structural relaxation.

Results
As for the magnetization: 0.0119 μB per atom. The density is 7.21 g cm⁻³.

The structure in POSCAR format:
```
AcY6Tm8
1.0
-0.3853 -1.2409 8.6207
-6.9064 -3.9841 3.5261
0.9328 -8.2708 3.2595
Ac Y Tm
1 6 8
Cartesian
0.0000 0.0000 0.0000 Ac
-5.8779 -11.4351 10.2656 Y
-1.8210 -2.3672 1.9677 Y
-3.5514 -3.5891 4.7008 Y
-2.8075 -9.9066 10.7055 Y
-4.5379 -11.1285 13.4386 Y
-0.4810 -2.0606 5.1407 Y
-0.7182 -4.6742 7.4700 Tm
-1.1090 -6.7581 10.1780 Tm
-1.8499 -6.4864 4.7747 Tm
-3.9778 -5.1981 7.8905 Tm
-2.3811 -8.2976 7.5158 Tm
-4.5090 -7.0093 10.6316 Tm
-5.2499 -6.7376 5.2283 Tm
-5.6407 -8.8215 7.9363 Tm
```


# 6
The following is a DFT calculation (PBE-GGA) of Ac4YTm after structural relaxation.

Results
As for the magnetization: 0.0001 μB per atom. The density is 7.56 g cm⁻³.

The structure in POSCAR format:
```
Ac4YTm
1.0
-6.4264 -2.6856 1.5145
-1.6472 -6.6418 -1.9945
-0.6521 -5.1345 4.9006
Y Ac Tm
1 4 1
Cartesian
0.0000 0.0000 0.0000 Y
-5.1262 -6.4728 0.3159 Ac
-4.6295 -5.7205 3.7574 Ac
-5.4517 -9.0356 2.7619 Ac
-2.2441 -7.6951 2.0060 Ac
-2.1814 -3.6155 1.1052 Tm
```


# 7
The following is a DFT calculation (PBE-GGA) of Ac6Y5Tm after structural relaxation.

Results
As for the magnetization: 0.0000 μB per atom. The density is 7.22 g cm⁻³.

The structure in POSCAR format:
```
Ac6Y5Tm
1.0
-0.3189 1.6162 -5.2371
7.5857 -6.1319 -2.3540
-9.0069 -3.8012 2.2613
Y Ac Tm
5 6 1
Cartesian
-1.9539 -1.2149 -3.1310 Y
-3.5908 -4.0487 -1.0251 Y
3.7929 -3.0660 -1.1770 Y
1.8507 -4.2682 -4.3047 Y
0.2138 -7.1020 -2.1988 Y
-1.8422 -4.7773 -4.2341 Ac
-5.6522 -1.6972 -3.0517 Ac
5.5469 -3.8049 -4.3894 Ac
-7.2870 -4.5120 -0.9404 Ac
3.9121 -6.6196 -2.2781 Ac
0.1022 -3.5396 -1.0957 Ac
0.0000 0.0000 0.0000 Tm
```


# 8
The following is a DFT calculation (PBE-GGA) of AcY6Tm after structural relaxation.

Results
As for the magnetization: 0.0000 μB per atom. The density is 5.62 g cm⁻³.

The structure in POSCAR format:
```
AcY6Tm
1.0
-0.5179 -7.3788 4.6257
7.7174 -5.3910 2.5618
2.9973 -1.9281 5.4880
Ac Y Tm
1 6 1
Cartesian
5.0984 -7.3490 6.3377 Ac
5.5223 -11.1286 10.1514 Y
9.2252 -12.1721 10.0353 Y
2.6691 -5.3513 4.6145 Y
0.9716 -2.5259 2.6401 Y
4.6746 -3.5694 2.5241 Y
7.5278 -9.3466 8.0610 Y
0.0000 0.0000 0.0000 Tm
```


# 9
The following is a DFT calculation (PBE-GGA) of AcY2Tm after structural relaxation.

Results
As for the magnetization: 0.0000 μB per atom. The density is 6.75 g cm⁻³.

The structure in POSCAR format:
```
AcY2Tm
1.0
4.0994 0.0000 0.0000
0.0000 4.0994 0.0000
0.0000 0.0000 8.4021
Y Ac Tm
2 1 1
Cartesian
0.0000 0.0000 6.5534 Y
0.0000 0.0000 1.8487 Y
2.0497 2.0497 4.2010 Ac
2.0497 2.0497 0.0000 Tm
```


# 10
The following is a DFT calculation (PBE-GGA) of AcYTm4 after structural relaxation.

Results
As for the magnetization: 0.0000 μB per atom. The density is 8.33 g cm⁻³.

The structure in POSCAR format:
```
AcYTm4
1.0
6.3139 -0.1101 0.0327
0.0455 5.9903 3.1907
-0.0740 0.8532 10.9113
Ac Y Tm
2 2 8
Cartesian
2.0298 2.3016 10.7788 Ac
4.2556 4.4317 3.3559 Ac
0.9916 5.2908 12.3553 Y
5.2938 1.4425 1.7794 Y
5.2578 1.6948 5.4162 Tm
5.2182 2.1246 8.9140 Tm
2.0808 1.9513 7.1308 Tm
2.0714 1.6282 3.5943 Tm
1.0276 5.0385 8.7185 Tm
4.2046 4.7820 7.0039 Tm
1.0672 4.6087 5.2207 Tm
4.2139 5.1051 10.5404 Tm
```


# 11
The following is a DFT calculation (PBE-GGA) of AcY2Tm after structural relaxation.

Results
As for the magnetization: 0.0000 μB per atom. The density is 6.89 g cm⁻³.

The structure in POSCAR format:
```
AcY2Tm
1.0
-2.7812 2.1684 -1.0753
-0.7980 0.3336 -3.5840
-8.5891 -8.2553 -0.7523
Y Ac Tm
2 1 1
Cartesian
-9.2052 -4.4120 -4.0502 Y
-2.9631 -1.3413 -1.3615 Y
-6.0842 -2.8767 -2.7058 Ac
0.0000 0.0000 0.0000 Tm
```


# 12
The following is a DFT calculation (PBE-GGA) of Ac2YTm after structural relaxation.

Results
As for the magnetization: 0.0000 μB per atom. The density is 7.82 g cm⁻³.

The structure in POSCAR format:
```
Ac2YTm
1.0
-4.7839 -1.5962 -3.2134
-4.1686 -3.5493 2.4050
-5.3876 2.2107 1.3585
Y Ac Tm
1 2 1
Cartesian
-7.1701 -1.4674 0.2751 Y
-3.5850 -0.7337 0.1375 Ac
-10.7551 -2.2011 0.4126 Ac
0.0000 0.0000 0.0000 Tm
```


Values of formation energy from the elements, in order: 0.99; 1.02; 0.83; 0.28; 2.51; 2.33; 0.53; 1.22; 0.39; 0.22; 0.24; 0.33, all in eV/f.u..